(1)
Compound: LiCo2P2O8
Source: Alexandria via LeMat-Bulk
Functional: PBEsol
Structure: optimized geometry

Lattice parameters (Å, degrees): 4.989 6.801 9.925 90.00 92.00 90.00
Fractional positions:
Li1 0.000 0.249 0.000
Li2 0.000 0.751 0.500
Co1 0.014 0.250 0.546
Co2 0.014 0.750 0.046
Co3 0.522 0.236 0.196
Co4 0.522 0.764 0.696
P1 0.030 0.478 0.274
P2 0.030 0.522 0.774
P3 0.506 0.019 0.460
P4 0.506 0.981 0.960
O1 0.333 0.452 0.256
O2 0.333 0.548 0.756
O3 0.379 0.200 0.525
O4 0.379 0.800 0.025
O5 0.387 0.175 0.017
O6 0.387 0.825 0.517
O7 0.459 0.021 0.306
O8 0.459 0.979 0.806
O9 0.813 0.018 0.498
O10 0.813 0.982 0.998
O11 0.886 0.314 0.188
O12 0.886 0.686 0.688
O13 0.946 0.315 0.725
O14 0.946 0.685 0.225
O15 0.957 0.467 0.424
O16 0.957 0.533 0.924

Computed properties:
The formation energy from raw total energies is -1717 meV/atom. The calculation puts the total energy at -7.18 eV/atom. The total magnetization comes out at 7.000 μB per formula unit. Its space-group type is Pc. The calculation puts the energy above the most stable polymorph in this dataset at 2.2 meV/atom.



(2)
Compound: Li2CoP4O12
Source: Alexandria via LeMat-Bulk
Functional: PBEsol
Structure: optimized geometry

Lattice parameters (Å, degrees): 7.373 8.850 8.506 90.00 123.41 90.00
Fractional positions:
Li1 0.179 0.162 0.298
Li2 0.179 0.338 0.798
Li3 0.821 0.662 0.202
Li4 0.821 0.838 0.702
Co1 0.000 0.000 0.500
Co2 0.000 0.500 0.000
P1 0.238 0.697 0.400
P2 0.238 0.803 0.900
P3 0.485 0.590 0.794
P4 0.485 0.910 0.294
P5 0.515 0.090 0.706
P6 0.515 0.410 0.206
P7 0.762 0.197 0.100
P8 0.762 0.303 0.600
O1 0.096 0.700 0.926
O2 0.096 0.800 0.426
O3 0.110 0.567 0.270
O4 0.110 0.933 0.770
O5 0.276 0.115 0.565
O6 0.276 0.385 0.065
O7 0.361 0.726 0.818
O8 0.361 0.774 0.318
O9 0.383 0.057 0.281
O10 0.383 0.443 0.781
O11 0.443 0.635 0.593
O12 0.443 0.865 0.093
O13 0.557 0.135 0.907
O14 0.557 0.365 0.407
O15 0.617 0.557 0.219
O16 0.617 0.943 0.719
O17 0.639 0.226 0.682
O18 0.639 0.274 0.182
O19 0.724 0.615 0.935
O20 0.724 0.885 0.435
O21 0.890 0.067 0.230
O22 0.890 0.433 0.730
O23 0.904 0.200 0.574
O24 0.904 0.300 0.074

Computed properties:
The formation energy from raw total energies is -2022 meV/atom. The calculation puts the total energy at -7.17 eV/atom. The total magnetization comes out at 3.000 μB per formula unit. Its space-group type is P2_1/c. The calculation puts the energy above the most stable polymorph in this dataset at 31.6 meV/atom.



(3)
Compound: LiCoP2O7
Source: Alexandria via LeMat-Bulk
Functional: PBEsol
Structure: optimized geometry

Lattice parameters (Å, degrees): 6.854 7.846 9.304 90.00 111.28 90.00
Fractional positions:
Li1 0.171 0.128 0.247
Li2 0.171 0.372 0.747
Li3 0.829 0.628 0.253
Li4 0.829 0.872 0.753
Co1 0.223 0.003 0.755
Co2 0.223 0.497 0.255
Co3 0.777 0.503 0.745
Co4 0.777 0.997 0.245
P1 0.192 0.688 0.952
P2 0.192 0.812 0.452
P3 0.398 0.216 0.059
P4 0.398 0.284 0.559
P5 0.602 0.716 0.441
P6 0.602 0.784 0.941
P7 0.808 0.188 0.548
P8 0.808 0.312 0.048
O1 0.071 0.544 0.846
O2 0.071 0.956 0.346
O3 0.125 0.633 0.385
O4 0.125 0.867 0.885
O5 0.201 0.681 0.117
O6 0.201 0.819 0.617
O7 0.246 0.183 0.894
O8 0.246 0.317 0.394
O9 0.273 0.184 0.636
O10 0.273 0.316 0.136
O11 0.423 0.658 0.949
O12 0.423 0.842 0.449
O13 0.491 0.052 0.147
O14 0.491 0.448 0.647
O15 0.509 0.552 0.353
O16 0.509 0.948 0.853
O17 0.577 0.158 0.551
O18 0.577 0.342 0.051
O19 0.727 0.684 0.864
O20 0.727 0.816 0.364
O21 0.754 0.683 0.606
O22 0.754 0.817 0.106
O23 0.799 0.181 0.383
O24 0.799 0.319 0.883
O25 0.875 0.133 0.115
O26 0.875 0.367 0.615
O27 0.929 0.044 0.654
O28 0.929 0.456 0.154

Computed properties:
The formation energy from raw total energies is -1922 meV/atom. The calculation puts the total energy at -7.20 eV/atom. The total magnetization comes out at 0.000 μB per formula unit. Its space-group type is P2_1/c. The calculation puts the energy above the most stable polymorph in this dataset at 9.9 meV/atom.



(4)
Compound: Li2CoP2O7
Source: Alexandria via LeMat-Bulk
Functional: PBEsol
Structure: optimized geometry

Lattice parameters (Å, degrees): 7.981 5.035 14.225 90.00 113.83 90.00
Fractional positions:
Li1 0.017 0.182 0.186
Li2 0.017 0.318 0.686
Li3 0.420 0.172 0.173
Li4 0.420 0.328 0.673
Li5 0.580 0.672 0.327
Li6 0.580 0.828 0.827
Li7 0.983 0.682 0.314
Li8 0.983 0.818 0.814
Co1 0.272 0.188 0.885
Co2 0.272 0.312 0.385
Co3 0.728 0.688 0.615
Co4 0.728 0.812 0.115
P1 0.191 0.695 0.188
P2 0.191 0.805 0.688
P3 0.306 0.682 0.021
P4 0.306 0.818 0.521
P5 0.694 0.182 0.479
P6 0.694 0.318 0.979
P7 0.809 0.195 0.312
P8 0.809 0.305 0.812
O1 0.007 0.711 0.689
O2 0.007 0.789 0.189
O3 0.153 0.729 0.068
O4 0.153 0.771 0.568
O5 0.223 0.691 0.415
O6 0.223 0.809 0.915
O7 0.225 0.100 0.716
O8 0.225 0.400 0.216
O9 0.329 0.119 0.518
O10 0.329 0.381 0.018
O11 0.350 0.628 0.750
O12 0.350 0.872 0.250
O13 0.475 0.667 0.594
O14 0.475 0.833 0.094
O15 0.525 0.167 0.906
O16 0.525 0.333 0.406
O17 0.650 0.128 0.750
O18 0.650 0.372 0.250
O19 0.671 0.619 0.982
O20 0.671 0.881 0.482
O21 0.775 0.600 0.784
O22 0.775 0.900 0.284
O23 0.777 0.191 0.085
O24 0.777 0.309 0.585
O25 0.847 0.229 0.432
O26 0.847 0.271 0.932
O27 0.993 0.211 0.811
O28 0.993 0.289 0.311

Computed properties:
The formation energy from raw total energies is -2002 meV/atom. The calculation puts the total energy at -7.00 eV/atom. The total magnetization comes out at 3.000 μB per formula unit. Its space-group type is P2_1/c. The calculation puts the energy above the most stable polymorph in this dataset at 25.3 meV/atom.



(5)
Compound: LiCo2P3O12
Source: Alexandria via LeMat-Bulk
Functional: PBEsol
Structure: optimized geometry

Lattice parameters (Å, degrees): 8.206 8.206 8.206 60.30 60.30 60.30
Fractional positions:
Li1 0.000 0.000 0.000
Li2 0.500 0.500 0.500
Co1 0.137 0.137 0.137
Co2 0.363 0.363 0.363
Co3 0.637 0.637 0.637
Co4 0.863 0.863 0.863
P1 0.035 0.750 0.465
P2 0.250 0.535 0.965
P3 0.465 0.035 0.750
P4 0.535 0.965 0.250
P5 0.750 0.465 0.035
P6 0.965 0.250 0.535
O1 0.010 0.805 0.630
O2 0.052 0.920 0.261
O3 0.080 0.739 0.948
O4 0.130 0.305 0.510
O5 0.195 0.370 0.990
O6 0.239 0.580 0.448
O7 0.261 0.052 0.920
O8 0.305 0.510 0.130
O9 0.370 0.990 0.195
O10 0.420 0.552 0.761
O11 0.448 0.239 0.580
O12 0.490 0.870 0.695
O13 0.510 0.130 0.305
O14 0.552 0.761 0.420
O15 0.580 0.448 0.239
O16 0.630 0.010 0.805
O17 0.695 0.490 0.870
O18 0.739 0.948 0.080
O19 0.761 0.420 0.552
O20 0.805 0.630 0.010
O21 0.870 0.695 0.490
O22 0.920 0.261 0.052
O23 0.948 0.080 0.739
O24 0.990 0.195 0.370

Computed properties:
The formation energy from raw total energies is -1689 meV/atom. The calculation puts the total energy at -7.12 eV/atom. The total magnetization comes out at 2.070 μB per formula unit. Its space-group type is R-3c.



(6)
Compound: Li2CoP2O7
Source: Alexandria via LeMat-Bulk
Functional: PBEsol
Structure: optimized geometry

Lattice parameters (Å, degrees): 8.055 8.055 8.761 113.90 113.90 35.74
Fractional positions:
Li1 0.043 0.335 0.052
Li2 0.335 0.043 0.552
Li3 0.665 0.957 0.448
Li4 0.957 0.665 0.948
Co1 0.000 0.000 0.000
Co2 0.000 0.000 0.500
P1 0.259 0.536 0.684
P2 0.464 0.741 0.816
P3 0.536 0.259 0.184
P4 0.741 0.464 0.316
O1 0.047 0.754 0.559
O2 0.120 0.671 0.840
O3 0.246 0.953 0.941
O4 0.249 0.392 0.107
O5 0.329 0.880 0.660
O6 0.392 0.249 0.607
O7 0.478 0.522 0.250
O8 0.522 0.478 0.750
O9 0.608 0.751 0.393
O10 0.671 0.120 0.340
O11 0.751 0.608 0.893
O12 0.754 0.047 0.059
O13 0.880 0.329 0.160
O14 0.953 0.246 0.441

Computed properties:
The formation energy from raw total energies is -2022 meV/atom. The calculation puts the total energy at -7.02 eV/atom. The total magnetization comes out at 3.019 μB per formula unit. Its space-group type is C2/c. The calculation puts the energy above the most stable polymorph in this dataset at 6.1 meV/atom.